Material: YIn2Ru
Method: DFT, GGA-PBE
State: relaxed

Structure (extended XYZ):
```
4
Lattice="0.0000 3.4530 3.4530 3.4530 0.0000 3.4530 3.4530 3.4530 0.0000" Properties=species:S:1:pos:R:3 pbc="T T T"
Y 0.0000 0.0000 0.0000
In 1.7265 1.7265 1.7265
In 5.1796 5.1796 5.1796
Ru 3.4530 3.4530 3.4530
```

Calculated values
SG: Fm-3m, No. 225
Mass density (g cm⁻³): 8.46
Fermi-level density of states (states/eV/f.u.): 2.37
ΔE_f (meV per atom): -194

Material: PtSe3F
Method: DFT, GGA-PBE
State: relaxed

Structure (extended XYZ):
```
5
Lattice="4.9561 0.0000 0.0000 0.0000 4.9561 0.0000 0.0000 0.0000 4.9561" Properties=species:S:1:pos:R:3 pbc="T T T"
Pt 0.0000 0.0000 0.0000
Se 0.0000 0.0000 2.4780
Se 0.0000 2.4780 0.0000
Se 2.4780 0.0000 0.0000
F 2.4780 2.4780 2.4780
```

Calculated values
SG: Pm-3m, No. 221
Mass density (g cm⁻³): 6.15
Fermi-level density of states (states/eV/f.u.): 8.20
Raw formation energy (eV/atom): 0.4298
Energy above the most stable polymorph in this dataset (meV per atom): 0

Material: K3TbSc3Te8
Method: DFT, GGA-PBE
State: relaxed

Structure (extended XYZ):
```
15
Lattice="7.3240 -4.2312 0.0000 7.3240 4.2312 0.0000 -4.8766 0.0000 8.4533" Properties=species:S:1:pos:R:3 pbc="T T T"
K 0.0000 0.0000 0.0000
K 3.6620 2.1156 0.0000
K 3.6620 -2.1156 0.0000
Tb -2.4383 0.0000 4.2267
Sc 1.2237 2.1156 4.2267
Sc 1.2237 -2.1156 4.2267
Sc 4.8857 0.0000 4.2267
Te 0.1225 0.0000 5.9552
Te 3.6092 2.0137 5.9557
Te 2.4424 0.0000 2.5526
Te 6.1621 2.0137 2.4976
Te 3.6092 -2.0137 5.9557
Te 7.3289 0.0000 5.9007
Te 6.1621 -2.0137 2.4976
Te 9.6488 0.0000 2.4981
```

Calculated values
SG: C2/m, No. 12
Mass density (g cm⁻³): 4.54
Fermi-level density of states (states/eV/f.u.): 5.23
Raw formation energy (eV/atom): -1.2262

Material: HfTiReOs
Method: DFT, GGA-PBE
State: relaxed

Structure (extended XYZ):
```
4
Lattice="0.0000 3.1846 3.1846 3.1846 0.0000 3.1846 3.1846 3.1846 0.0000" Properties=species:S:1:pos:R:3 pbc="T T T"
Hf 0.0000 0.0000 0.0000
Ti 3.1846 3.1846 3.1846
Re 4.7768 4.7768 4.7768
Os 1.5923 1.5923 1.5923
```

Calculated values
SG: F-43m, No. 216
Mass density (g cm⁻³): 15.50
Fermi-level density of states (states/eV/f.u.): 2.64
ΔE_f (meV per atom): -502
Energy above the most stable polymorph in this dataset (meV per atom): 18

Material: BaNaBi
Method: DFT, GGA-PBE
State: relaxed

Structure (extended XYZ):
```
3
Lattice="-2.4091 2.4091 5.0084 2.4091 -2.4091 5.0084 2.4091 2.4091 -5.0084" Properties=species:S:1:pos:R:3 pbc="T T T"
Ba 0.0000 0.0000 0.0000
Na 0.0000 0.0000 3.2373
Bi 0.0000 0.0000 6.4789
```

Calculated values
SG: I4mm, No. 107
Mass density (g cm⁻³): 5.27
Fermi-level density of states (states/eV/f.u.): 0.28
ΔE_f (meV per atom): -522

Material: MnAs2Pd2
Method: DFT, GGA-PBE
State: relaxed

Structure (extended XYZ):
```
10
Lattice="6.7062 0.0000 0.0000 0.0000 6.7062 0.0000 0.0000 0.0000 3.6964" Properties=species:S:1:pos:R:3 pbc="T T T"
Mn 0.0000 0.0000 0.0000
Mn 3.3531 3.3531 0.0000
As 1.0377 2.3154 0.0000
As 2.3154 5.6685 0.0000
As 4.3908 1.0377 0.0000
As 5.6685 4.3908 0.0000
Pd 1.0188 4.3719 1.8482
Pd 2.3343 1.0188 1.8482
Pd 4.3719 5.6874 1.8482
Pd 5.6874 2.3343 1.8482
```

Calculated values
SG: P4/mbm, No. 127
Mass density (g cm⁻³): 8.34
Fermi-level density of states (states/eV/f.u.): 3.27
ΔE_f (meV per atom): -107